Entry 1:
Density functional theory data (PBE) for crystalline BePAu2 at its relaxed geometry.

Summary:
DOS at the Fermi energy: 2.158 states/eV/cell
Energy above the lowest structure with this stoichiometry: 24.3 kJ/mol of atoms
Final energy: -14.301 eV/cell
Calculated formation energy: 0.348 eV/atom
Calculated volume: 61.85 Å³ per cell

Unit cell a=4.7892 b=4.7892 c=4.7892 alpha=130.62 beta=130.62 gamma=72.41
Sites, in units of the cell vectors:
Be1 0.0000 0.0000 0.0000
P1 0.5000 0.5000 0.0000
Au1 0.2500 0.7500 0.5000
Au2 0.7500 0.2500 0.5000

Entry 2:
Density functional theory data (PBE) for crystalline BeP2Au at its relaxed geometry.

Summary:
DOS at the Fermi energy: 1.140 states/eV/cell
Final energy: -17.644 eV/cell
Calculated formation energy: 0.045 eV/atom
Calculated volume: 62.98 Å³ per cell

Unit cell a=3.0507 b=3.0507 c=6.7671 alpha=90.00 beta=90.00 gamma=90.00
Sites, in units of the cell vectors:
Be1 0.0000 0.0000 0.0000
P1 0.0000 0.0000 0.3196
P2 0.5000 0.5000 0.4455
Au1 0.5000 0.5000 0.8323

Entry 3:
Density functional theory data (PBE) for crystalline BePAu2 at its relaxed geometry.

Summary:
DOS at the Fermi energy: 1.324 states/eV/cell
Energy above the lowest structure with this stoichiometry: 4.2 kJ/mol of atoms
Final energy: -15.132 eV/cell
Calculated formation energy: 0.140 eV/atom
Calculated volume: 64.18 Å³ per cell

Unit cell a=6.0930 b=6.0930 c=6.0930 alpha=153.74 beta=139.95 gamma=48.53
Sites, in units of the cell vectors:
Be1 0.0000 0.0000 0.0000
P1 0.1699 0.6699 0.5000
Au1 0.5163 0.5163 0.0000
Au2 0.8195 0.3195 0.5000

> Which of these has the highest calculated volume?

number 3

> Number 1 is which compound?

BePAu2

> What is the formula in the first record?

BePAu2